Entry 1:
First-principles (PBE) data for Ce2Tm2Th after structural relaxation, as listed in Alexandria.

Summary:
energy of formation	69	meV/atom
SG	C2/m
DOS(E_F)	24.11	states/eV/cell
E_tot	-55.77	eV/cell

Cell lengths 11.492, 3.488, 8.609 Å; angles 90.00, 120.11, 90.00 degrees
Atoms (fractional coordinates):
Ce 0.109 0.000 0.402
Ce 0.391 0.500 0.598
Ce 0.609 0.500 0.402
Ce 0.891 0.000 0.598
Tm 0.197 0.500 0.799
Tm 0.303 0.000 0.201
Tm 0.697 0.000 0.799
Tm 0.803 0.500 0.201
Th 0.000 0.500 0.000
Th 0.500 0.000 0.000


Entry 2:
First-principles (PBE) data for URe2Si after structural relaxation, as listed in Alexandria.

Summary:
energy above the lowest structure with this stoichiometry	1.83	eV/f.u.
SG	R-3m
DOS(E_F)	16.20	states/eV/cell
E_tot	-120.06	eV/cell

Cell lengths 2.968, 2.968, 26.180 Å; angles 90.00, 90.00, 120.00 degrees
Atoms (fractional coordinates):
U 0.000 0.000 0.000
U 0.333 0.667 0.667
U 0.667 0.333 0.333
Re 0.000 0.000 0.096
Re 0.000 0.000 0.904
Re 0.333 0.667 0.570
Re 0.333 0.667 0.763
Re 0.667 0.333 0.237
Re 0.667 0.333 0.430
Si 0.000 0.000 0.500
Si 0.333 0.667 0.167
Si 0.667 0.333 0.833